Record 1
# InPd2Rh2, optimized geometry, DFT GGA-PBE
# Energy of formation ... 13.33 kJ per mole of atoms
# Uncorrected energy ... -54.27 eV/cell
# Distance to the lowest polymorph of the same formula ... 56 meV/atom
# Density ... 10.5 Mg/m³
data_InPd2Rh2
_chemical_formula_sum 'In2 Pd4 Rh4'
_symmetry_space_group_name_H-M 'P 4/m b m'
_symmetry_Int_Tables_number 127
_symmetry_space_group_name_Hall '-P 4 2ab'
_cell_length_a 7.246
_cell_length_b 7.246
_cell_length_c 3.212
_cell_angle_alpha 90.00
_cell_angle_beta 90.00
_cell_angle_gamma 90.00
loop_
_atom_site_label
_atom_site_fract_x
_atom_site_fract_y
_atom_site_fract_z
_atom_site_occupancy
In1 0.000 0.000 0.000 1
Pd1 0.154 0.346 0.000 1
Rh1 0.139 0.639 0.500 1

***

Record 2
# Ba2MgCdF, optimized geometry, DFT GGA-PBE
# Energy relative to the elements, uncorrected ... -1.122 eV per atom
# Uncorrected energy ... -13.84 eV/cell
# Density ... 4.5 Mg/m³
data_Ba2MgCdF
_chemical_formula_sum 'Ba2 Mg1 Cd1 F1'
_symmetry_space_group_name_H-M 'P 4/m m m'
_symmetry_Int_Tables_number 123
_symmetry_space_group_name_Hall '-P 4 2'
_cell_length_a 5.863
_cell_length_b 5.863
_cell_length_c 4.573
_cell_angle_alpha 90.00
_cell_angle_beta 90.00
_cell_angle_gamma 90.00
loop_
_atom_site_label
_atom_site_fract_x
_atom_site_fract_y
_atom_site_fract_z
_atom_site_occupancy
Ba1 0.000 0.500 0.000 1
Mg1 0.000 0.000 0.500 1
Cd1 0.500 0.500 0.500 1
F1 0.000 0.000 0.000 1

***

Record 3
# Fe2RuI8, optimized geometry, DFT GGA-PBE
# Energy relative to the elements, uncorrected ... -0.118 eV per atom
# Uncorrected energy ... -79.81 eV/cell
# Density ... 4.3 Mg/m³
data_Fe2RuI8
_chemical_formula_sum 'Fe4 Ru2 I16'
_symmetry_space_group_name_H-M 'C 1 2/m 1'
_symmetry_Int_Tables_number 12
_symmetry_space_group_name_Hall '-C 2y'
_cell_length_a 14.012
_cell_length_b 10.068
_cell_length_c 6.674
_cell_angle_alpha 90.00
_cell_angle_beta 91.93
_cell_angle_gamma 90.00
loop_
_atom_site_label
_atom_site_fract_x
_atom_site_fract_y
_atom_site_fract_z
_atom_site_occupancy
Fe1 0.165 0.000 0.392 1
Ru1 0.000 0.000 0.000 1
I1 0.078 0.200 0.231 1
I2 0.158 0.500 0.661 1
I3 0.161 0.000 0.782 1

***

Record 4
# BaBPt4, optimized geometry, DFT GGA-PBE
# Energy of formation ... -25.68 kJ per mole of atoms
# Uncorrected energy ... -34.36 eV/cell
# Density ... 13.5 Mg/m³
data_BaBPt4
_chemical_formula_sum 'Ba1 B1 Pt4'
_symmetry_space_group_name_H-M 'P 4/m m m'
_symmetry_Int_Tables_number 123
_symmetry_space_group_name_Hall '-P 4 2'
_cell_length_a 4.226
_cell_length_b 4.226
_cell_length_c 6.387
_cell_angle_alpha 90.00
_cell_angle_beta 90.00
_cell_angle_gamma 90.00
loop_
_atom_site_label
_atom_site_fract_x
_atom_site_fract_y
_atom_site_fract_z
_atom_site_occupancy
Ba1 0.000 0.000 0.000 1
B1 0.000 0.000 0.500 1
Pt1 0.000 0.500 0.500 1
Pt2 0.500 0.500 0.203 1

***

Record 5
# AcNdHo4Er2, optimized geometry, DFT GGA-PBE
# Energy of formation ... 43.20 kJ per mole of atoms
# Uncorrected energy ... -130.92 eV/cell
# Density ... 8.2 Mg/m³
data_AcNdHo4Er2
_chemical_formula_sum 'Ac4 Nd4 Ho16 Er8'
_symmetry_space_group_name_H-M 'C 1 2/c 1'
_symmetry_Int_Tables_number 15
_symmetry_space_group_name_Hall '-C 2yc'
_cell_length_a 13.744
_cell_length_b 13.418
_cell_length_c 6.891
_cell_angle_alpha 90.00
_cell_angle_beta 120.08
_cell_angle_gamma 90.00
loop_
_atom_site_label
_atom_site_fract_x
_atom_site_fract_y
_atom_site_fract_z
_atom_site_occupancy
Ac1 0.250 0.250 0.000 1
Nd1 0.000 0.000 0.000 1
Ho1 0.000 0.255 0.013 1
Ho2 0.245 0.490 0.493 1
Er1 0.000 0.500 0.000 1
Er2 0.250 0.250 0.500 1

***

Record 6
# NiRuPt, optimized geometry, DFT GGA-PBE
# Energy of formation ... 1.35 kJ per mole of atoms
# Uncorrected energy ... -42.11 eV/cell
# Distance to the lowest polymorph of the same formula ... 0 meV/atom
# Density ... 14.5 Mg/m³
data_NiRuPt
_chemical_formula_sum 'Ni2 Ru2 Pt2'
_symmetry_space_group_name_H-M 'P -1'
_symmetry_Int_Tables_number 2
_symmetry_space_group_name_Hall '-P 1'
_cell_length_a 2.711
_cell_length_b 4.588
_cell_length_c 7.000
_cell_angle_alpha 72.84
_cell_angle_beta 78.95
_cell_angle_gamma 89.93
loop_
_atom_site_label
_atom_site_fract_x
_atom_site_fract_y
_atom_site_fract_z
_atom_site_occupancy
Ni1 0.089 0.264 0.325 1
Ru1 0.252 0.743 0.996 1
Pt1 0.416 0.238 0.665 1

***

Record 7
# CdP2O6, optimized geometry, DFT GGA-PBE
# Energy relative to the elements, uncorrected ... -1.961 eV per atom
# Uncorrected energy ... -236.54 eV/cell
# Density ... 3.6 Mg/m³
data_CdP2O6
_chemical_formula_sum 'Cd4 P8 O24'
_symmetry_space_group_name_H-M 'P 21 21 21'
_symmetry_Int_Tables_number 19
_symmetry_space_group_name_Hall 'P 2ac 2ab'
_cell_length_a 7.527
_cell_length_b 7.634
_cell_length_c 8.621
_cell_angle_alpha 90.00
_cell_angle_beta 90.00
_cell_angle_gamma 90.00
loop_
_atom_site_label
_atom_site_fract_x
_atom_site_fract_y
_atom_site_fract_z
_atom_site_occupancy
Cd1 0.020 0.142 0.212 1
P1 0.120 0.558 0.659 1
P2 0.153 0.165 0.600 1
O1 0.008 0.563 0.818 1
O2 0.042 0.678 0.539 1
O3 0.083 0.362 0.605 1
O4 0.160 0.105 0.435 1
O5 0.177 0.855 0.192 1
O6 0.187 0.419 0.203 1

***

Record 8
# TlSb2Rh, optimized geometry, DFT GGA-PBE
# Energy relative to the elements, uncorrected ... 0.059 eV per atom
# Uncorrected energy ... -70.91 eV/cell
# Distance to the lowest polymorph of the same formula ... 251 meV/atom
# Density ... 7.1 Mg/m³
data_TlSb2Rh
_chemical_formula_sum 'Tl4 Sb8 Rh4'
_symmetry_space_group_name_H-M 'I -4 2 d'
_symmetry_Int_Tables_number 122
_symmetry_space_group_name_Hall 'I -4 2bw'
_cell_length_a 6.452
_cell_length_b 6.452
_cell_length_c 12.452
_cell_angle_alpha 90.00
_cell_angle_beta 90.00
_cell_angle_gamma 90.00
loop_
_atom_site_label
_atom_site_fract_x
_atom_site_fract_y
_atom_site_fract_z
_atom_site_occupancy
Tl1 0.000 0.000 0.000 1
Sb1 0.182 0.250 0.625 1
Rh1 0.000 0.000 0.500 1